<w>
Computed, not measured: a relaxed Nb3TcC crystal at the GGA-PBE level of DFT.

```
data_Nb3TcC
_chemical_formula_sum 'Nb3 Tc1 C1'
_cell_length_a 4.773
_cell_length_b 4.773
_cell_length_c 4.773
_cell_angle_alpha 90.00
_cell_angle_beta 90.00
_cell_angle_gamma 90.00
_symmetry_space_group_name_H-M 'P m -3 m'
_symmetry_Int_Tables_number 221
_symmetry_space_group_name_Hall '-P 4 2 3'
loop_
_atom_site_label
_atom_site_type_symbol
_atom_site_fract_x
_atom_site_fract_y
_atom_site_fract_z
Nb1 Nb 0.000 0.000 0.500
Tc1 Tc 0.000 0.000 0.000
C1 C 0.500 0.500 0.500
```


<x>
Computed, not measured: a relaxed Nb3TcC crystal at the GGA-PBE level of DFT.

```
data_Nb3TcC
_chemical_formula_sum 'Nb3 Tc1 C1'
_cell_length_a 4.289
_cell_length_b 4.289
_cell_length_c 4.289
_cell_angle_alpha 90.00
_cell_angle_beta 90.00
_cell_angle_gamma 90.00
_symmetry_space_group_name_H-M 'P m -3 m'
_symmetry_Int_Tables_number 221
_symmetry_space_group_name_Hall '-P 4 2 3'
loop_
_atom_site_label
_atom_site_type_symbol
_atom_site_fract_x
_atom_site_fract_y
_atom_site_fract_z
Nb1 Nb 0.000 0.000 0.500
Tc1 Tc 0.500 0.500 0.500
C1 C 0.000 0.000 0.000
```


The most stable of them is <x>.


<w>
Computed, not measured: a relaxed NbTe3C crystal at the GGA-PBE level of DFT.

```
data_NbTe3C
_chemical_formula_sum 'Nb1 Te3 C1'
_cell_length_a 4.719
_cell_length_b 4.719
_cell_length_c 4.719
_cell_angle_alpha 90.00
_cell_angle_beta 90.00
_cell_angle_gamma 90.00
_symmetry_space_group_name_H-M 'P m -3 m'
_symmetry_Int_Tables_number 221
_symmetry_space_group_name_Hall '-P 4 2 3'
loop_
_atom_site_label
_atom_site_type_symbol
_atom_site_fract_x
_atom_site_fract_y
_atom_site_fract_z
Nb1 Nb 0.000 0.000 0.000
Te1 Te 0.000 0.500 0.500
C1 C 0.500 0.500 0.500
```


<x>
Computed, not measured: a relaxed NbTe3C crystal at the GGA-PBE level of DFT.

```
data_NbTe3C
_chemical_formula_sum 'Nb1 Te3 C1'
_cell_length_a 5.391
_cell_length_b 5.391
_cell_length_c 5.391
_cell_angle_alpha 90.00
_cell_angle_beta 90.00
_cell_angle_gamma 90.00
_symmetry_space_group_name_H-M 'P m -3 m'
_symmetry_Int_Tables_number 221
_symmetry_space_group_name_Hall '-P 4 2 3'
loop_
_atom_site_label
_atom_site_type_symbol
_atom_site_fract_x
_atom_site_fract_y
_atom_site_fract_z
Nb1 Nb 0.000 0.000 0.000
Te1 Te 0.000 0.000 0.500
C1 C 0.500 0.500 0.500
```


The most stable of them is <w>.


<w>
Computed, not measured: a relaxed Ti2NbC2 crystal at the GGA-PBE level of DFT.

```
data_Ti2NbC2
_chemical_formula_sum 'Ti8 Nb4 C8'
_cell_length_a 5.369
_cell_length_b 9.263
_cell_length_c 5.382
_cell_angle_alpha 90.00
_cell_angle_beta 108.96
_cell_angle_gamma 90.00
_symmetry_space_group_name_H-M 'C 1 2/c 1'
_symmetry_Int_Tables_number 15
loop_
_symmetry_equiv_pos_as_xyz
'x,y,z'
'-x,-y,-z'
'-x,y,-z+1/2'
'x,-y,z+1/2'
'x+1/2,y+1/2,z'
'-x+1/2,-y+1/2,-z'
'-x+1/2,y+1/2,-z+1/2'
'x+1/2,-y+1/2,z+1/2'
loop_
_atom_site_label
_atom_site_type_symbol
_atom_site_fract_x
_atom_site_fract_y
_atom_site_fract_z
Ti1 Ti 0.000 0.069 0.250
Ti2 Ti 0.000 0.249 0.750
Nb1 Nb 0.000 0.430 0.250
C1 C 0.245 0.086 0.002
```


<x>
Computed, not measured: a relaxed Ti2NbC2 crystal at the GGA-PBE level of DFT.

```
data_Ti2NbC2
_chemical_formula_sum 'Ti8 Nb4 C8'
_cell_length_a 7.446
_cell_length_b 8.386
_cell_length_c 4.564
_cell_angle_alpha 90.00
_cell_angle_beta 118.54
_cell_angle_gamma 90.00
_symmetry_space_group_name_H-M 'C 1 2/c 1'
_symmetry_Int_Tables_number 15
loop_
_symmetry_equiv_pos_as_xyz
'x,y,z'
'-x,-y,-z'
'-x,y,-z+1/2'
'x,-y,z+1/2'
'x+1/2,y+1/2,z'
'-x+1/2,-y+1/2,-z'
'-x+1/2,y+1/2,-z+1/2'
'x+1/2,-y+1/2,z+1/2'
loop_
_atom_site_label
_atom_site_type_symbol
_atom_site_fract_x
_atom_site_fract_y
_atom_site_fract_z
Ti1 Ti 0.176 0.107 0.013
Nb1 Nb 0.000 0.360 0.250
C1 C 0.000 0.104 0.250
C2 C 0.000 0.337 0.750
```


The most stable of them is <w>.


<w>
Computed, not measured: a relaxed NbTlC2 crystal at the GGA-PBE level of DFT.

```
data_NbTlC2
_chemical_formula_sum 'Nb4 Tl4 C8'
_cell_length_a 5.920
_cell_length_b 5.920
_cell_length_c 5.920
_cell_angle_alpha 90.00
_cell_angle_beta 90.00
_cell_angle_gamma 90.00
_symmetry_space_group_name_H-M 'F m -3 m'
_symmetry_Int_Tables_number 225
_symmetry_space_group_name_Hall '-F 4 2 3'
loop_
_atom_site_label
_atom_site_type_symbol
_atom_site_fract_x
_atom_site_fract_y
_atom_site_fract_z
Nb1 Nb 0.000 0.000 0.000
Tl1 Tl 0.000 0.000 0.500
C1 C 0.250 0.250 0.250
```


<x>
Computed, not measured: a relaxed NbTlC2 crystal at the GGA-PBE level of DFT.

```
data_NbTlC2
_chemical_formula_sum 'Nb4 Tl4 C8'
_cell_length_a 5.162
_cell_length_b 5.162
_cell_length_c 10.000
_cell_angle_alpha 90.00
_cell_angle_beta 90.00
_cell_angle_gamma 90.00
_symmetry_space_group_name_H-M 'I -4 2 d'
_symmetry_Int_Tables_number 122
_symmetry_space_group_name_Hall 'I -4 2bw'
loop_
_atom_site_label
_atom_site_type_symbol
_atom_site_fract_x
_atom_site_fract_y
_atom_site_fract_z
Nb1 Nb 0.000 0.000 0.000
Tl1 Tl 0.000 0.000 0.500
C1 C 0.202 0.250 0.125
```


The most stable of them is <x>.


<w>
Computed, not measured: a relaxed UNbC2 crystal at the GGA-PBE level of DFT.

```
data_UNbC2
_chemical_formula_sum 'U3 Nb3 C6'
_cell_length_a 3.2744
_cell_length_b 3.2744
_cell_length_c 16.8517
_cell_angle_alpha 90.00
_cell_angle_beta 90.00
_cell_angle_gamma 120.00
_symmetry_space_group_name_H-M 'R -3 m'
_symmetry_Int_Tables_number 166
_symmetry_space_group_name_Hall '-R 3 2"'
loop_
_atom_site_label
_atom_site_type_symbol
_atom_site_fract_x
_atom_site_fract_y
_atom_site_fract_z
U1 U 0.0000 0.0000 0.0000
Nb1 Nb 0.0000 0.0000 0.5000
C1 C 0.0000 0.0000 0.2431
```


<x>
Computed, not measured: a relaxed UNbC2 crystal at the GGA-PBE level of DFT.

```
data_UNbC2
_chemical_formula_sum 'U3 Nb3 C6'
_cell_length_a 3.2428
_cell_length_b 3.2428
_cell_length_c 17.5134
_cell_angle_alpha 90.00
_cell_angle_beta 90.00
_cell_angle_gamma 120.00
_symmetry_space_group_name_H-M 'R 3 m'
_symmetry_Int_Tables_number 160
_symmetry_space_group_name_Hall 'R 3 -2"'
loop_
_atom_site_label
_atom_site_type_symbol
_atom_site_fract_x
_atom_site_fract_y
_atom_site_fract_z
U1 U 0.0000 0.0000 0.0000
Nb1 Nb 0.0000 0.0000 0.8255
C1 C 0.0000 0.0000 0.4201
C2 C 0.0000 0.0000 0.5718
```


The most stable of them is <w>.


<w>
Computed, not measured: a relaxed NbWC crystal at the GGA-PBE level of DFT.

```
data_NbWC
_chemical_formula_sum 'Nb1 W1 C1'
_cell_length_a 2.926
_cell_length_b 3.090
_cell_length_c 4.646
_cell_angle_alpha 90.00
_cell_angle_beta 108.35
_cell_angle_gamma 90.00
_symmetry_space_group_name_H-M 'P 1 m 1'
_symmetry_Int_Tables_number 6
loop_
_symmetry_equiv_pos_as_xyz
'x,y,z'
'x,-y,z'
loop_
_atom_site_label
_atom_site_type_symbol
_atom_site_fract_x
_atom_site_fract_y
_atom_site_fract_z
Nb1 Nb 0.000 0.000 0.000
W1 W 0.740 0.500 0.450
C1 C 0.306 0.000 0.590
```


<x>
Computed, not measured: a relaxed NbWC crystal at the GGA-PBE level of DFT.

```
data_NbWC
_chemical_formula_sum 'Nb4 W4 C4'
_cell_length_a 10.978
_cell_length_b 3.042
_cell_length_c 4.858
_cell_angle_alpha 90.00
_cell_angle_beta 98.41
_cell_angle_gamma 90.00
_symmetry_space_group_name_H-M 'C 1 m 1'
_symmetry_Int_Tables_number 8
loop_
_symmetry_equiv_pos_as_xyz
'x,y,z'
'x,-y,z'
'x+1/2,y+1/2,z'
'x+1/2,-y+1/2,z'
loop_
_atom_site_label
_atom_site_type_symbol
_atom_site_fract_x
_atom_site_fract_y
_atom_site_fract_z
Nb1 Nb 0.000 0.000 0.000
Nb2 Nb 0.164 0.000 0.580
W1 W 0.249 0.500 0.100
W2 W 0.417 0.000 0.479
C1 C 0.082 0.500 0.295
C2 C 0.342 0.000 0.868
```


The most stable of them is <x>.